Rb2NbNCl6 | the Alexandria database | PBE | optimized geometry; formation energy without anion corrections = -0.787 eV/atom; symmetry = I4/mmm, No. 139
1.0
8.000 0.000 0.000
0.000 8.000 0.000
4.000 4.000 4.547
Nb N Rb Cl
1 1 2 6
Direct
0.000 0.000 0.000
0.500 0.500 0.000
0.750 0.250 0.500
0.250 0.750 0.500
0.270 0.270 0.460
0.730 0.730 0.540
0.216 0.216 0.000
0.784 0.784 0.000
0.784 0.216 0.000
0.216 0.784 0.000